Entry 1:
Compound: KZrOs2
Source: Alexandria via LeMat-Bulk
Functional: PBE-GGA
Structure: optimized geometry

The structure in POSCAR format:
```
KZrOs2
1.0
2.988 0.000 0.000
0.000 4.831 0.000
0.000 0.000 10.961
K Zr Os
2 2 4
Direct
0.000 0.000 0.000 K
0.500 0.500 0.000 K
0.000 0.500 0.676 Zr
0.500 0.000 0.676 Zr
0.000 0.000 0.458 Os
0.000 0.500 0.262 Os
0.500 0.000 0.262 Os
0.500 0.500 0.458 Os
```

As for the calculated formation energy: 0.9144 eV/atom. The total moment is 0.1 Bohr magnetons per cell. The calculation puts the uncorrected energy at -7.112 eV/atom. As for the calculated density: 10.72 g cm⁻³.


Entry 2:
Compound: KZrOs2
Source: Alexandria via LeMat-Bulk
Functional: PBE-GGA
Structure: optimized geometry

The structure in POSCAR format:
```
KZrOs2
1.0
6.277 0.000 0.000
0.000 9.350 0.000
-0.022 0.000 2.597
K Zr Os
2 2 4
Direct
0.000 0.000 0.000 K
0.500 0.500 0.000 K
0.000 0.500 0.000 Zr
0.500 0.000 0.000 Zr
0.250 0.250 0.500 Os
0.250 0.750 0.500 Os
0.750 0.250 0.500 Os
0.750 0.750 0.500 Os
```

As for the calculated formation energy: 1.0936 eV/atom. The total moment is 0.0 Bohr magnetons per cell. The calculation puts the uncorrected energy at -6.933 eV/atom. As for the calculated density: 11.13 g cm⁻³.


Entry 3:
Compound: KP5
Source: Alexandria via LeMat-Bulk
Functional: PBE-GGA
Structure: optimized geometry

The structure in POSCAR format:
```
KP5
1.0
14.159 0.000 0.000
0.000 3.257 0.000
-3.583 0.000 6.276
K P
2 10
Direct
0.000 0.000 0.000 K
0.500 0.500 0.000 K
0.084 0.000 0.605 P
0.222 0.500 0.684 P
0.240 0.500 0.396 P
0.367 0.000 0.530 P
0.466 0.000 0.372 P
0.584 0.500 0.605 P
0.722 0.000 0.684 P
0.740 0.000 0.396 P
0.867 0.500 0.530 P
0.966 0.500 0.372 P
```

As for the calculated formation energy: -0.0396 eV/atom. The total moment is 0.0 Bohr magnetons per cell. The calculation puts the uncorrected energy at -4.731 eV/atom. As for the calculated density: 2.23 g cm⁻³.


Entry 4:
Compound: KP
Source: Alexandria via LeMat-Bulk
Functional: PBE-GGA
Structure: optimized geometry

The structure in POSCAR format:
```
KP
1.0
3.034 0.000 0.000
0.000 3.034 0.000
0.000 0.000 5.021
K P
1 1
Direct
0.000 0.000 0.000 K
0.500 0.500 0.500 P
```

As for the calculated formation energy: 0.1678 eV/atom. The total moment is 0.0 Bohr magnetons per cell. The calculation puts the uncorrected energy at -3.086 eV/atom. As for the calculated density: 2.52 g cm⁻³.


Entry 5:
Compound: KP
Source: Alexandria via LeMat-Bulk
Functional: PBE-GGA
Structure: optimized geometry

The structure in POSCAR format:
```
KP
1.0
7.472 0.000 0.000
0.000 7.472 0.000
0.000 0.000 7.472
K P
4 4
Direct
0.000 0.000 0.000 K
0.000 0.500 0.500 K
0.500 0.000 0.500 K
0.500 0.500 0.000 K
0.250 0.250 0.750 P
0.250 0.750 0.250 P
0.750 0.250 0.250 P
0.750 0.750 0.750 P
```

As for the calculated formation energy: 0.7724 eV/atom. The total moment is 8.0 Bohr magnetons per cell. The calculation puts the uncorrected energy at -2.481 eV/atom. As for the calculated density: 1.12 g cm⁻³.


Entry 6:
Compound: KP5
Source: Alexandria via LeMat-Bulk
Functional: PBE-GGA
Structure: optimized geometry

The structure in POSCAR format:
```
KP5
1.0
0.000 4.217 4.217
4.217 0.000 4.217
4.217 4.217 0.000
K P
1 5
Direct
0.000 0.000 0.000 K
0.407 0.407 0.407 P
0.407 0.407 0.779 P
0.407 0.779 0.407 P
0.750 0.750 0.750 P
0.779 0.407 0.407 P
```

As for the calculated formation energy: 0.3410 eV/atom. The total moment is 2.0 Bohr magnetons per cell. The calculation puts the uncorrected energy at -4.350 eV/atom. As for the calculated density: 2.15 g cm⁻³.


calculated formation energy of number 2 (KZrOs2)? 1.0936 eV/atom


Which value of calculated density does entry 6 give? 2.15 g cm⁻³


Number 5 is which compound? KP